# ReAs2W (GGA-PBE, relaxed)
# **Total magnetization**: 0.0 Bohr magnetons per cell
# **E**: -127.71 eV/cell
data_ReAs2W
_symmetry_space_group_name_H-M 'F -4 3 m'
_symmetry_Int_Tables_number 216
_symmetry_space_group_name_Hall 'F -4 2 3'
_cell_length_a 6.377
_cell_length_b 6.377
_cell_length_c 6.377
_cell_angle_alpha 90.00
_cell_angle_beta 90.00
_cell_angle_gamma 90.00
loop_
_atom_site_label
_atom_site_fract_x
_atom_site_fract_y
_atom_site_fract_z
Re1 0.000 0.000 0.000
As1 0.000 0.000 0.500
As2 0.250 0.250 0.750
W1 0.250 0.250 0.250

=====

# Tm4TaRu5 (GGA-PBE, relaxed)
# **Total magnetization**: 0.0 Bohr magnetons per cell
# **E**: -80.75 eV/cell
data_Tm4TaRu5
_symmetry_space_group_name_H-M 'P 4/m m m'
_symmetry_Int_Tables_number 123
_symmetry_space_group_name_Hall '-P 4 2'
_cell_length_a 3.294
_cell_length_b 3.294
_cell_length_c 16.773
_cell_angle_alpha 90.00
_cell_angle_beta 90.00
_cell_angle_gamma 90.00
loop_
_atom_site_label
_atom_site_fract_x
_atom_site_fract_y
_atom_site_fract_z
Tm1 0.000 0.000 0.101
Tm2 0.000 0.000 0.300
Ta1 0.000 0.000 0.500
Ru1 0.500 0.500 0.000
Ru2 0.500 0.500 0.204
Ru3 0.500 0.500 0.412

=====

# TiMn2Br (GGA-PBE, relaxed)
# **Uncorrected formation energy**: 0.54 eV per atom
# **Total magnetization**: 26.8 Bohr magnetons per cell
# **E**: -103.01 eV/cell
data_TiMn2Br
_symmetry_space_group_name_H-M 'I -4 2 d'
_symmetry_Int_Tables_number 122
_symmetry_space_group_name_Hall 'I -4 2bw'
_cell_length_a 7.384
_cell_length_b 7.384
_cell_length_c 5.257
_cell_angle_alpha 90.00
_cell_angle_beta 90.00
_cell_angle_gamma 90.00
loop_
_atom_site_label
_atom_site_fract_x
_atom_site_fract_y
_atom_site_fract_z
Ti1 0.000 0.000 0.000
Mn1 0.231 0.250 0.625
Br1 0.000 0.000 0.500

=====

# Sm2UAlRh6 (GGA-PBE, relaxed)
# **Total magnetization**: 0.0 Bohr magnetons per cell
# **E**: -149.23 eV/cell
data_Sm2UAlRh6
_symmetry_space_group_name_H-M 'C 1 2/m 1'
_symmetry_Int_Tables_number 12
_cell_length_a 11.412
_cell_length_b 5.736
_cell_length_c 7.697
_cell_angle_alpha 90.00
_cell_angle_beta 131.10
_cell_angle_gamma 90.00
loop_
_symmetry_equiv_pos_as_xyz
'x,y,z'
'-x,-y,-z'
'-x,y,-z'
'x,-y,z'
'x+1/2,y+1/2,z'
'-x+1/2,-y+1/2,-z'
'-x+1/2,y+1/2,-z'
'x+1/2,-y+1/2,z'
loop_
_atom_site_label
_atom_site_fract_x
_atom_site_fract_y
_atom_site_fract_z
Sm1 0.006 0.000 0.270
U1 0.000 0.500 0.000
Al1 0.000 0.500 0.500
Rh1 0.176 0.500 0.922
Rh2 0.246 0.249 0.300

=====

# NaZn2RuS (GGA-PBE, relaxed)
# **Uncorrected formation energy**: 0.43 eV per atom
# **Total magnetization**: 0.0 Bohr magnetons per cell
# **E**: -15.14 eV/cell
data_NaZn2RuS
_symmetry_space_group_name_H-M 'P 4/m m m'
_symmetry_Int_Tables_number 123
_symmetry_space_group_name_Hall '-P 4 2'
_cell_length_a 4.826
_cell_length_b 4.826
_cell_length_c 4.356
_cell_angle_alpha 90.00
_cell_angle_beta 90.00
_cell_angle_gamma 90.00
loop_
_atom_site_label
_atom_site_fract_x
_atom_site_fract_y
_atom_site_fract_z
Na1 0.000 0.000 0.000
Zn1 0.000 0.500 0.500
Ru1 0.500 0.500 0.000
S1 0.500 0.500 0.500

=====

# ZrTl2Cl2O2 (GGA-PBE, relaxed)
# **Uncorrected formation energy**: -1.77 eV per atom
# **Total magnetization**: 0.0 Bohr magnetons per cell
# **E**: -78.58 eV/cell
data_ZrTl2Cl2O2
_symmetry_space_group_name_H-M 'I 4/m m m'
_symmetry_Int_Tables_number 139
_symmetry_space_group_name_Hall '-I 4 2'
_cell_length_a 4.311
_cell_length_b 4.311
_cell_length_c 17.235
_cell_angle_alpha 90.00
_cell_angle_beta 90.00
_cell_angle_gamma 90.00
loop_
_atom_site_label
_atom_site_fract_x
_atom_site_fract_y
_atom_site_fract_z
Zr1 0.000 0.000 0.000
Tl1 0.000 0.000 0.378
Cl1 0.000 0.000 0.152
O1 0.000 0.500 0.000

=====

# Cs2MnTc (GGA-PBE, relaxed)
# **Total magnetization**: 3.8 Bohr magnetons per cell
# **E**: -64.78 eV/cell
data_Cs2MnTc
_symmetry_space_group_name_H-M 'I -4 2 d'
_symmetry_Int_Tables_number 122
_symmetry_space_group_name_Hall 'I -4 2bw'
_cell_length_a 14.041
_cell_length_b 14.041
_cell_length_c 4.530
_cell_angle_alpha 90.00
_cell_angle_beta 90.00
_cell_angle_gamma 90.00
loop_
_atom_site_label
_atom_site_fract_x
_atom_site_fract_y
_atom_site_fract_z
Cs1 0.070 0.750 0.125
Mn1 0.000 0.000 0.000
Tc1 0.000 0.000 0.500

=====

# SbH2PtS (GGA-PBE, relaxed)
# **Total magnetization**: 0.0 Bohr magnetons per cell
# **E**: -21.06 eV/cell
data_SbH2PtS
_symmetry_space_group_name_H-M 'P 1 m 1'
_symmetry_Int_Tables_number 6
_cell_length_a 4.656
_cell_length_b 2.856
_cell_length_c 6.118
_cell_angle_alpha 90.00
_cell_angle_beta 102.26
_cell_angle_gamma 90.00
loop_
_symmetry_equiv_pos_as_xyz
'x,y,z'
'x,-y,z'
loop_
_atom_site_label
_atom_site_fract_x
_atom_site_fract_y
_atom_site_fract_z
Sb1 0.000 0.000 0.000
H1 0.034 0.500 0.555
H2 0.474 0.500 0.757
Pt1 0.257 0.000 0.652
S1 0.459 0.000 0.311

=====

# Ta2VB (GGA-PBE, relaxed)
# **Total magnetization**: 0.0 Bohr magnetons per cell
# **E**: -153.28 eV/cell
data_Ta2VB
_symmetry_space_group_name_H-M 'I -4 2 d'
_symmetry_Int_Tables_number 122
_symmetry_space_group_name_Hall 'I -4 2bw'
_cell_length_a 7.773
_cell_length_b 7.773
_cell_length_c 4.181
_cell_angle_alpha 90.00
_cell_angle_beta 90.00
_cell_angle_gamma 90.00
loop_
_atom_site_label
_atom_site_fract_x
_atom_site_fract_y
_atom_site_fract_z
Ta1 0.126 0.250 0.125
V1 0.000 0.000 0.500
B1 0.000 0.000 0.000

=====

# K3RbHf (GGA-PBE, relaxed)
# **Total magnetization**: 4.2 Bohr magnetons per cell
# **E**: -9.16 eV/cell
data_K3RbHf
_symmetry_space_group_name_H-M 'P m -3 m'
_symmetry_Int_Tables_number 221
_symmetry_space_group_name_Hall '-P 4 2 3'
_cell_length_a 7.034
_cell_length_b 7.034
_cell_length_c 7.034
_cell_angle_alpha 90.00
_cell_angle_beta 90.00
_cell_angle_gamma 90.00
loop_
_atom_site_label
_atom_site_fract_x
_atom_site_fract_y
_atom_site_fract_z
K1 0.000 0.000 0.500
Rb1 0.500 0.500 0.500
Hf1 0.000 0.000 0.000

=====

# SrCa2Tc (GGA-PBE, relaxed)
# **Total magnetization**: 3.5 Bohr magnetons per cell
# **E**: -54.00 eV/cell
data_SrCa2Tc
_symmetry_space_group_name_H-M 'F m -3 m'
_symmetry_Int_Tables_number 225
_symmetry_space_group_name_Hall '-F 4 2 3'
_cell_length_a 7.736
_cell_length_b 7.736
_cell_length_c 7.736
_cell_angle_alpha 90.00
_cell_angle_beta 90.00
_cell_angle_gamma 90.00
loop_
_atom_site_label
_atom_site_fract_x
_atom_site_fract_y
_atom_site_fract_z
Sr1 0.000 0.000 0.000
Ca1 0.250 0.250 0.250
Tc1 0.000 0.000 0.500

=====

# Ac2AuN (GGA-PBE, relaxed)
# **Uncorrected formation energy**: -0.80 eV per atom
# **Total magnetization**: 0.0 Bohr magnetons per cell
# **E**: -69.03 eV/cell
data_Ac2AuN
_symmetry_space_group_name_H-M 'R -3 m'
_symmetry_Int_Tables_number 166
_symmetry_space_group_name_Hall '-R 3 2"'
_cell_length_a 3.9755
_cell_length_b 3.9755
_cell_length_c 23.0374
_cell_angle_alpha 90.00
_cell_angle_beta 90.00
_cell_angle_gamma 120.00
loop_
_atom_site_label
_atom_site_fract_x
_atom_site_fract_y
_atom_site_fract_z
Ac1 0.0000 0.0000 0.2332
Au1 0.0000 0.0000 0.0000
N1 0.0000 0.0000 0.5000